GaAg3Mo, optimized geometry, DFT GGA-PBE; energy relative to the elements = 7.16 eV per formula unit; relative energy among the computed polymorphs = 203.5 meV/atom; SG = No. 221
1.0
5.261 0.000 0.000
0.000 5.261 0.000
0.000 0.000 5.261
Ga Ag Mo
1 3 1
direct
0.000 0.000 0.000
0.000 0.500 0.500
0.500 0.000 0.500
0.500 0.500 0.000
0.500 0.500 0.500